#a
This record from Alexandria via LeMat-Bulk describes a relaxed structure of AcSm2Mg. The functional is GGA-PBE.

Cell and atoms, written as CIF:
```
data_AcSm2Mg
_chemical_formula_sum 'Ac1 Sm2 Mg1'
_cell_length_a 3.850
_cell_length_b 3.850
_cell_length_c 9.076
_cell_angle_alpha 90.00
_cell_angle_beta 90.00
_cell_angle_gamma 90.00
_symmetry_space_group_name_H-M 'P 4/m m m'
_symmetry_Int_Tables_number 123
_symmetry_space_group_name_Hall '-P 4 2'
loop_
_atom_site_label
_atom_site_type_symbol
_atom_site_fract_x
_atom_site_fract_y
_atom_site_fract_z
Ac1 Ac 0.000 0.000 0.000
Sm1 Sm 0.500 0.500 0.289
Mg1 Mg 0.000 0.000 0.500
```

As for the size of the total moment: 0.00 μB/atom. The value obtained for the density of states at the Fermi level is 1.19 states/eV/atom. The volume is 135 Å³/cell.

***

#b
This record from Alexandria via LeMat-Bulk describes a relaxed structure of AcSm2Mg. The functional is GGA-PBE.

Cell and atoms, written as CIF:
```
data_AcSm2Mg
_chemical_formula_sum 'Ac1 Sm2 Mg1'
_cell_length_a 5.081
_cell_length_b 5.081
_cell_length_c 5.247
_cell_angle_alpha 90.00
_cell_angle_beta 90.00
_cell_angle_gamma 90.00
_symmetry_space_group_name_H-M 'P 4/m m m'
_symmetry_Int_Tables_number 123
_symmetry_space_group_name_Hall '-P 4 2'
loop_
_atom_site_label
_atom_site_type_symbol
_atom_site_fract_x
_atom_site_fract_y
_atom_site_fract_z
Ac1 Ac 0.000 0.000 0.000
Sm1 Sm 0.000 0.500 0.500
Mg1 Mg 0.500 0.500 0.000
```

As for the size of the total moment: 0.00 μB/atom. The value obtained for the density of states at the Fermi level is 1.67 states/eV/atom. The volume is 135 Å³/cell.

***

Q: Which of them is the most stable? A: #a.

***

#a
This record from Alexandria via LeMat-Bulk describes a relaxed structure of AcSm2Mg. The functional is GGA-PBE.

Cell and atoms, written as CIF:
```
data_AcSm2Mg
_chemical_formula_sum 'Ac3 Sm6 Mg3'
_cell_length_a 3.7271
_cell_length_b 3.7271
_cell_length_c 34.6185
_cell_angle_alpha 90.00
_cell_angle_beta 90.00
_cell_angle_gamma 120.00
_symmetry_space_group_name_H-M 'R 3 m'
_symmetry_Int_Tables_number 160
_symmetry_space_group_name_Hall 'R 3 -2"'
loop_
_atom_site_label
_atom_site_type_symbol
_atom_site_fract_x
_atom_site_fract_y
_atom_site_fract_z
Ac1 Ac 0.0000 0.0000 0.0000
Sm1 Sm 0.0000 0.0000 0.5755
Sm2 Sm 0.0000 0.0000 0.7580
Mg1 Mg 0.0000 0.0000 0.1665
```

As for the size of the total moment: 0.00 μB/atom. The value obtained for the density of states at the Fermi level is 1.17 states/eV/atom. The volume is 416 Å³/cell.

***

#b
This record from Alexandria via LeMat-Bulk describes a relaxed structure of AcSm2Mg. The functional is GGA-PBE.

Cell and atoms, written as CIF:
```
data_AcSm2Mg
_chemical_formula_sum 'Ac4 Sm8 Mg4'
_cell_length_a 8.154
_cell_length_b 8.154
_cell_length_c 8.154
_cell_angle_alpha 90.00
_cell_angle_beta 90.00
_cell_angle_gamma 90.00
_symmetry_space_group_name_H-M 'F m -3 m'
_symmetry_Int_Tables_number 225
_symmetry_space_group_name_Hall '-F 4 2 3'
loop_
_atom_site_label
_atom_site_type_symbol
_atom_site_fract_x
_atom_site_fract_y
_atom_site_fract_z
Ac1 Ac 0.000 0.000 0.000
Sm1 Sm 0.250 0.250 0.250
Mg1 Mg 0.000 0.000 0.500
```

As for the size of the total moment: 0.00 μB/atom. The value obtained for the density of states at the Fermi level is 1.51 states/eV/atom. The volume is 542 Å³/cell.

***

#c
This record from Alexandria via LeMat-Bulk describes a relaxed structure of AcSm2Mg. The functional is GGA-PBE.

Cell and atoms, written as CIF:
```
data_AcSm2Mg
_chemical_formula_sum 'Ac3 Sm6 Mg3'
_cell_length_a 3.5932
_cell_length_b 3.5932
_cell_length_c 37.5915
_cell_angle_alpha 90.00
_cell_angle_beta 90.00
_cell_angle_gamma 120.00
_symmetry_space_group_name_H-M 'R -3 m'
_symmetry_Int_Tables_number 166
_symmetry_space_group_name_Hall '-R 3 2"'
loop_
_atom_site_label
_atom_site_type_symbol
_atom_site_fract_x
_atom_site_fract_y
_atom_site_fract_z
Ac1 Ac 0.0000 0.0000 0.0000
Sm1 Sm 0.0000 0.0000 0.0960
Mg1 Mg 0.0000 0.0000 0.5000
```

As for the size of the total moment: 0.00 μB/atom. The value obtained for the density of states at the Fermi level is 1.48 states/eV/atom. The volume is 420 Å³/cell.

***

Q: Which of them is the most stable? A: #a.

***

#a
This record from Alexandria via LeMat-Bulk describes a relaxed structure of Ac2SmMg2. The functional is GGA-PBE.

Cell and atoms, written as CIF:
```
data_Ac2SmMg2
_chemical_formula_sum 'Ac4 Sm2 Mg4'
_cell_length_a 5.522
_cell_length_b 6.863
_cell_length_c 9.484
_cell_angle_alpha 90.00
_cell_angle_beta 90.00
_cell_angle_gamma 90.00
_symmetry_space_group_name_H-M 'I m m m'
_symmetry_Int_Tables_number 71
_symmetry_space_group_name_Hall '-I 2 2'
loop_
_atom_site_label
_atom_site_type_symbol
_atom_site_fract_x
_atom_site_fract_y
_atom_site_fract_z
Ac1 Ac 0.000 0.000 0.196
Sm1 Sm 0.000 0.500 0.000
Mg1 Mg 0.000 0.281 0.500
```

As for the size of the total moment: 0.00 μB/atom. The value obtained for the density of states at the Fermi level is 1.40 states/eV/atom. The volume is 359 Å³/cell.

***

#b
This record from Alexandria via LeMat-Bulk describes a relaxed structure of Ac2SmMg2. The functional is GGA-PBE.

Cell and atoms, written as CIF:
```
data_Ac2SmMg2
_chemical_formula_sum 'Ac4 Sm2 Mg4'
_cell_length_a 4.020
_cell_length_b 22.172
_cell_length_c 3.946
_cell_angle_alpha 90.00
_cell_angle_beta 90.00
_cell_angle_gamma 90.00
_symmetry_space_group_name_H-M 'C m m m'
_symmetry_Int_Tables_number 65
_symmetry_space_group_name_Hall '-C 2 2'
loop_
_atom_site_label
_atom_site_type_symbol
_atom_site_fract_x
_atom_site_fract_y
_atom_site_fract_z
Ac1 Ac 0.000 0.176 0.000
Sm1 Sm 0.000 0.000 0.000
Mg1 Mg 0.000 0.422 0.500
```

As for the size of the total moment: 0.00 μB/atom. The value obtained for the density of states at the Fermi level is 1.08 states/eV/atom. The volume is 352 Å³/cell.

***

Q: Which of them is the most stable? A: #b.

***

#a
This record from Alexandria via LeMat-Bulk describes a relaxed structure of Ac4SmMg. The functional is GGA-PBE.

Cell and atoms, written as CIF:
```
data_Ac4SmMg
_chemical_formula_sum 'Ac16 Sm4 Mg4'
_cell_length_a 10.138
_cell_length_b 10.138
_cell_length_c 10.138
_cell_angle_alpha 90.00
_cell_angle_beta 90.00
_cell_angle_gamma 90.00
_symmetry_space_group_name_H-M 'F -4 3 m'
_symmetry_Int_Tables_number 216
_symmetry_space_group_name_Hall 'F -4 2 3'
loop_
_atom_site_label
_atom_site_type_symbol
_atom_site_fract_x
_atom_site_fract_y
_atom_site_fract_z
Ac1 Ac 0.125 0.125 0.125
Sm1 Sm 0.000 0.000 0.500
Mg1 Mg 0.250 0.250 0.750
```

As for the size of the total moment: 0.00 μB/atom. The value obtained for the density of states at the Fermi level is 1.42 states/eV/atom. The volume is 1042 Å³/cell.

***

#b
This record from Alexandria via LeMat-Bulk describes a relaxed structure of Ac4SmMg. The functional is GGA-PBE.

Cell and atoms, written as CIF:
```
data_Ac4SmMg
_chemical_formula_sum 'Ac4 Sm1 Mg1'
_cell_length_a 3.972
_cell_length_b 3.972
_cell_length_c 15.099
_cell_angle_alpha 90.00
_cell_angle_beta 90.00
_cell_angle_gamma 90.00
_symmetry_space_group_name_H-M 'P 4/m m m'
_symmetry_Int_Tables_number 123
_symmetry_space_group_name_Hall '-P 4 2'
loop_
_atom_site_label
_atom_site_type_symbol
_atom_site_fract_x
_atom_site_fract_y
_atom_site_fract_z
Ac1 Ac 0.000 0.000 0.146
Ac2 Ac 0.500 0.500 0.331
Sm1 Sm 0.000 0.000 0.500
Mg1 Mg 0.500 0.500 0.000
```

As for the size of the total moment: 0.00 μB/atom. The value obtained for the density of states at the Fermi level is 1.36 states/eV/atom. The volume is 238 Å³/cell.

***

Q: Which of them is the most stable? A: #b.